This record from Alexandria via LeMat-Bulk describes a geometry-optimized Er4Tm3In4 structure. The functional is PBE-GGA.

a b c (Å): 3.586 9.393 10.548
angles (deg): 116.44 99.79 90.00
Atoms (fractional coordinates):
Er1 0.338 0.148 0.675
Er2 0.662 0.473 0.325
Er3 0.662 0.852 0.325
Er4 0.338 0.527 0.675
Tm1 0.097 0.097 0.193
Tm2 0.903 0.903 0.807
Tm3 0.000 0.500 0.000
In1 0.268 0.768 0.536
In2 0.732 0.232 0.464
In3 0.500 0.781 0.000
In4 0.500 0.219 0.000

Results
* calculated formation energy: -0.274 eV/atom